P) Er4AgOs | PBE-GGA | relaxed

```
6
Lattice="4.829 0.000 0.000 0.000 4.829 0.000 0.000 0.000 6.999" Properties=species:S:1:pos:R:3 pbc="T T T"
Er 0.000 2.415 1.620
Er 0.000 2.415 5.379
Er 2.415 0.000 1.620
Er 2.415 0.000 5.379
Ag 0.000 0.000 3.500
Os 2.415 2.415 0.000
```

=====

Q) Er4AgOs | PBE-GGA | relaxed

```
24
Lattice="0.000 6.702 6.702 6.702 0.000 6.702 6.702 6.702 0.000" Properties=species:S:1:pos:R:3 pbc="T T T"
Er 6.702 6.702 2.550
Er 6.702 2.550 6.702
Er 10.855 6.702 6.702
Er 4.679 4.679 4.679
Er 8.726 8.726 4.679
Er 8.726 4.679 8.726
Er 10.054 10.054 7.484
Er 10.054 7.484 10.054
Er 12.623 10.054 10.054
Er 2.550 6.702 6.702
Er 6.702 10.855 6.702
Er 6.702 6.702 10.855
Er 7.484 10.054 10.054
Er 10.054 12.623 10.054
Er 10.054 10.054 12.623
Er 4.679 8.726 8.726
Ag 7.803 5.601 5.601
Ag 5.601 7.803 5.601
Ag 5.601 5.601 7.803
Ag 7.803 7.803 7.803
Os 1.879 1.879 1.879
Os 4.823 4.823 1.879
Os 4.823 1.879 4.823
Os 1.879 4.823 4.823
```

=====

Least stable: P)

=====

P) SmErAgOs | PBE-GGA | relaxed

```
4
Lattice="3.423 0.000 0.000 0.000 3.423 0.000 0.000 0.000 7.668" Properties=species:S:1:pos:R:3 pbc="T T T"
Sm 0.000 0.000 0.000
Er 0.000 0.000 4.286
Ag 1.711 1.711 2.267
Os 1.711 1.711 5.911
```

=====

Q) SmErAgOs | PBE-GGA | relaxed

```
4
Lattice="0.000 3.522 3.522 3.522 0.000 3.522 3.522 3.522 0.000" Properties=species:S:1:pos:R:3 pbc="T T T"
Sm 0.000 0.000 0.000
Er 3.522 3.522 3.522
Ag 1.761 1.761 1.761
Os 5.283 5.283 5.283
```

=====

Least stable: Q)